# 1
Compound: ScAlCo2
Source: Alexandria via LeMat-Bulk
Functional: PBE-GGA
Structure: relaxed

Unit cell a=4.914 b=4.914 c=4.165 alpha=70.96 beta=70.96 gamma=35.43
Positions (direct):
Co: 0.738 0.738 0.728
Co: 0.001 0.001 0.039
Al: 0.268 0.268 0.199
Sc: 0.493 0.493 0.534

Summary:
Magnetic moment (μB/f.u.): 0.825
Space-group type: Cm (8)
Formation energy from the elements (meV per atom): -314
Uncorrected energy (eV per cell): -25.54
Calculated density (Mg/m³): 5.8

---

# 2
Compound: ScAlCo2
Source: Alexandria via LeMat-Bulk
Functional: PBE-GGA
Structure: relaxed

Unit cell a=2.916 b=2.916 c=6.803 alpha=90.00 beta=90.00 gamma=90.00
Positions (direct):
Al: 0.500 0.500 0.805
Sc: 0.000 0.000 0.472
Co: 0.500 0.500 0.206
Co: 0.000 0.000 0.017

Summary:
Magnetic moment (μB/f.u.): 2.446
Space-group type: P4mm (99)
Formation energy from the elements (meV per atom): -223
Uncorrected energy (eV per cell): -25.18
Calculated density (Mg/m³): 5.4

---

# 3
Compound: ScAlCo2
Source: Alexandria via LeMat-Bulk
Functional: PBE-GGA
Structure: relaxed

Unit cell a=2.810 b=3.803 c=5.181 alpha=90.00 beta=90.00 gamma=90.00
Positions (direct):
Sc: 0.000 0.000 0.467
Co: 0.500 0.500 0.263
Co: 0.000 0.000 0.972
Al: 0.500 0.500 0.798

Summary:
Magnetic moment (μB/f.u.): 0.001
Space-group type: Pmm2 (25)
Formation energy from the elements (meV per atom): -197
Uncorrected energy (eV per cell): -25.07
Calculated density (Mg/m³): 5.7

---

# 4
Compound: Sc5Al4Co
Source: Alexandria via LeMat-Bulk
Functional: PBE-GGA
Structure: relaxed

Unit cell a=3.246 b=3.246 c=17.530 alpha=90.00 beta=90.00 gamma=90.00
Positions (direct):
Sc: 0.500 0.500 0.084
Sc: 0.500 0.500 0.916
Sc: 0.500 0.500 0.291
Sc: 0.500 0.500 0.500
Sc: 0.500 0.500 0.709
Co: 0.000 0.000 0.000
Al: 0.000 0.000 0.604
Al: 0.000 0.000 0.812
Al: 0.000 0.000 0.396
Al: 0.000 0.000 0.188

Summary:
Magnetic moment (μB/f.u.): 0.000
Space-group type: P4/mmm (123)
Formation energy from the elements (meV per atom): -441
Uncorrected energy (eV per cell): -58.15
Calculated density (Mg/m³): 3.5

---

# 5
Compound: Sc3AlCo
Source: Alexandria via LeMat-Bulk
Functional: PBE-GGA
Structure: relaxed

Unit cell a=3.990 b=6.391 c=10.372 alpha=131.33 beta=101.09 gamma=90.00
Positions (direct):
Sc: 0.647 0.780 0.293
Sc: 0.353 0.220 0.707
Sc: 0.213 0.260 0.427
Sc: 0.787 0.740 0.573
Sc: 0.004 0.755 0.008
Sc: 0.996 0.245 0.992
Co: 0.168 0.560 0.335
Co: 0.832 0.440 0.665
Al: 0.402 0.784 0.804
Al: 0.598 0.216 0.196

Summary:
Magnetic moment (μB/f.u.): 0.000
Space-group type: C2/m (12)
Formation energy from the elements (meV per atom): -328
Uncorrected energy (eV per cell): -62.97
E above lowest polymorph (eV/atom): 0.000
Calculated density (Mg/m³): 3.8

---

# 6
Compound: ScAlCo2
Source: Alexandria via LeMat-Bulk
Functional: PBE-GGA
Structure: relaxed

Unit cell a=3.066 b=4.167 c=4.167 alpha=90.00 beta=90.00 gamma=90.00
Positions (direct):
Co: 0.000 0.000 0.500
Co: 0.000 0.500 0.000
Al: 0.500 0.000 0.000
Sc: 0.500 0.500 0.500

Summary:
Magnetic moment (μB/f.u.): 0.000
Space-group type: P4/mmm (123)
Formation energy from the elements (meV per atom): -461
Uncorrected energy (eV per cell): -26.13
Calculated density (Mg/m³): 5.9

---

# 7
Compound: Sc4AlCo
Source: Alexandria via LeMat-Bulk
Functional: PBE-GGA
Structure: relaxed

Unit cell a=4.543 b=4.516 c=6.646 alpha=81.42 beta=90.02 gamma=90.00
Positions (direct):
Co: 0.001 0.997 0.498
Sc: 0.001 0.447 0.272
Sc: 0.001 0.548 0.724
Sc: 0.501 0.934 0.280
Sc: 0.501 0.061 0.716
Al: 0.501 0.497 0.998

Summary:
Magnetic moment (μB/f.u.): 0.000
Space-group type: P2/m (10)
Formation energy from the elements (meV per atom): -60
Uncorrected energy (eV per cell): -36.53
E above lowest polymorph (eV/atom): 0.282
Calculated density (Mg/m³): 3.3

---

# 8
Compound: Sc4AlCo
Source: Alexandria via LeMat-Bulk
Functional: PBE-GGA
Structure: relaxed

Unit cell a=5.591 b=5.591 c=5.591 alpha=60.00 beta=60.00 gamma=60.00
Positions (direct):
Sc: 0.375 0.876 0.375
Sc: 0.876 0.375 0.375
Sc: 0.375 0.375 0.375
Sc: 0.375 0.375 0.876
Co: 0.000 0.000 0.000
Al: 0.750 0.750 0.750

Summary:
Magnetic moment (μB/f.u.): 1.254
Space-group type: F-43m (216)
Formation energy from the elements (meV per atom): 464
Uncorrected energy (eV per cell): -33.39
E above lowest polymorph (eV/atom): 0.806
Calculated density (Mg/m³): 3.6

---

# 9
Compound: Sc2Al9Co3
Source: Alexandria via LeMat-Bulk
Functional: PBE-GGA
Structure: relaxed

Unit cell a=7.299 b=7.299 c=10.031 alpha=89.80 beta=111.36 gamma=120.28
Positions (direct):
Co: 0.828 0.657 0.999
Co: 0.172 0.343 0.001
Co: 0.842 0.171 0.499
Co: 0.500 0.000 0.000
Co: 0.500 0.500 0.500
Co: 0.158 0.829 0.501
Al: 0.790 0.481 0.427
Al: 0.213 0.686 0.071
Al: 0.108 0.858 0.250
Al: 0.885 0.858 0.571
Al: 0.210 0.519 0.573
Al: 0.892 0.142 0.750
Al: 0.671 0.699 0.752
Al: 0.137 0.985 0.949
Al: 0.787 0.314 0.929
Al: 0.536 0.188 0.551
Al: 0.553 0.081 0.252
Al: 0.447 0.919 0.748
Al: 0.863 0.015 0.051
Al: 0.445 0.637 0.927
Al: 0.115 0.142 0.429
Al: 0.329 0.301 0.248
Al: 0.464 0.812 0.449
Al: 0.555 0.363 0.073
Sc: 0.337 0.248 0.750
Sc: 0.998 0.587 0.750
Sc: 0.002 0.413 0.250
Sc: 0.663 0.752 0.250

Summary:
Magnetic moment (μB/f.u.): 0.000
Space-group type: C2/c (15)
Formation energy from the elements (meV per atom): -566
Uncorrected energy (eV per cell): -151.19
Calculated density (Mg/m³): 4.0

---

# 10
Compound: Sc4AlCo5
Source: Alexandria via LeMat-Bulk
Functional: PBE-GGA
Structure: relaxed

Unit cell a=3.083 b=3.083 c=15.220 alpha=90.00 beta=90.00 gamma=90.00
Positions (direct):
Sc: 0.000 0.000 0.397
Sc: 0.000 0.000 0.808
Sc: 0.000 0.000 0.192
Sc: 0.000 0.000 0.603
Co: 0.500 0.500 0.913
Co: 0.500 0.500 0.087
Co: 0.500 0.500 0.705
Co: 0.500 0.500 0.500
Co: 0.500 0.500 0.295
Al: 0.000 0.000 0.000

Summary:
Magnetic moment (μB/f.u.): 0.170
Space-group type: P4/mmm (123)
Formation energy from the elements (meV per atom): -381
Uncorrected energy (eV per cell): -68.41
Calculated density (Mg/m³): 5.8

---

# 11
Compound: ScAl2Co2Si
Source: Alexandria via LeMat-Bulk
Functional: PBE-GGA
Structure: relaxed

Unit cell a=4.199 b=4.199 c=5.365 alpha=90.00 beta=90.00 gamma=90.00
Positions (direct):
Co: 0.500 0.000 0.000
Co: 0.000 0.500 0.000
Al: 0.500 0.500 0.258
Al: 0.500 0.500 0.742
Si: 0.000 0.000 0.000
Sc: 0.000 0.000 0.500

Summary:
Magnetic moment (μB/f.u.): 0.964
Space-group type: P4/mmm (123)
Formation energy from raw total energies (eV per atom): -0.3006
Uncorrected energy (eV per cell): -35.26
Calculated density (Mg/m³): 4.3

---

# 12
Compound: Sm2ScAl12Co3
Source: Alexandria via LeMat-Bulk
Functional: PBE-GGA
Structure: relaxed

Unit cell a=7.827 b=7.827 c=7.827 alpha=64.71 beta=64.71 gamma=64.71
Positions (direct):
Al: 0.160 0.539 0.160
Al: 0.725 0.104 0.725
Al: 0.160 0.160 0.539
Al: 0.461 0.840 0.840
Al: 0.275 0.896 0.275
Al: 0.104 0.725 0.725
Al: 0.840 0.840 0.461
Al: 0.896 0.275 0.275
Al: 0.840 0.461 0.840
Al: 0.275 0.275 0.896
Al: 0.725 0.725 0.104
Al: 0.539 0.160 0.160
Sm: 0.584 0.584 0.584
Sm: 0.416 0.416 0.416
Co: 0.000 0.500 0.000
Co: 0.500 0.000 0.000
Co: 0.000 0.000 0.500
Sc: 0.000 0.000 0.000

Summary:
Magnetic moment (μB/f.u.): 0.000
Space-group type: R-3m (166)
Formation energy from the elements (meV per atom): 42
Uncorrected energy (eV per cell): -81.25
Calculated density (Mg/m³): 3.8

---

# 13
Compound: SrScAl2Co
Source: Alexandria via LeMat-Bulk
Functional: PBE-GGA
Structure: relaxed

Unit cell a=4.743 b=4.743 c=4.757 alpha=90.00 beta=90.00 gamma=90.00
Positions (direct):
Co: 0.000 0.000 0.000
Sr: 0.500 0.500 0.500
Sc: 0.000 0.000 0.500
Al: 0.500 0.000 0.000
Al: 0.000 0.500 0.000

Summary:
Magnetic moment (μB/f.u.): 0.000
Space-group type: P4/mmm (123)
Formation energy from the elements (meV per atom): -230
Uncorrected energy (eV per cell): -23.76
Calculated density (Mg/m³): 3.8

---

# 14
Compound: Th2ScAl12Co3
Source: Alexandria via LeMat-Bulk
Functional: PBE-GGA
Structure: relaxed

Unit cell a=7.833 b=7.833 c=7.833 alpha=64.75 beta=64.75 gamma=64.75
Positions (direct):
Al: 0.840 0.461 0.840
Al: 0.896 0.275 0.275
Al: 0.725 0.725 0.104
Al: 0.160 0.539 0.160
Al: 0.275 0.896 0.275
Al: 0.275 0.275 0.896
Al: 0.725 0.104 0.725
Al: 0.160 0.160 0.539
Al: 0.104 0.725 0.725
Al: 0.539 0.160 0.160
Al: 0.840 0.840 0.461
Al: 0.461 0.840 0.840
Co: 0.000 0.000 0.500
Co: 0.000 0.500 0.000
Co: 0.500 0.000 0.000
Sc: 0.000 0.000 0.000
Th: 0.581 0.581 0.581
Th: 0.419 0.419 0.419

Summary:
Magnetic moment (μB/f.u.): 0.000
Space-group type: R-3m (166)
Formation energy from the elements (meV per atom): 86
Uncorrected energy (eV per cell): -85.85
Calculated density (Mg/m³): 4.5

---

# 15
Compound: Sc2AlTlCo
Source: Alexandria via LeMat-Bulk
Functional: PBE-GGA
Structure: relaxed

Unit cell a=4.805 b=4.805 c=4.579 alpha=90.00 beta=90.00 gamma=90.00
Positions (direct):
Tl: 0.500 0.500 0.500
Sc: 0.000 0.500 0.000
Sc: 0.500 0.000 0.000
Co: 0.000 0.000 0.000
Al: 0.000 0.000 0.500

Summary:
Magnetic moment (μB/f.u.): 0.000
Space-group type: P4/mmm (123)
Formation energy from the elements (meV per atom): -194
Uncorrected energy (eV per cell): -26.85
Calculated density (Mg/m³): 6.0

---

# 16
Compound: ScAlVCo2
Source: Alexandria via LeMat-Bulk
Functional: PBE-GGA
Structure: relaxed

Unit cell a=4.336 b=4.532 c=4.336 alpha=90.00 beta=90.00 gamma=90.00
Positions (direct):
V: 0.000 0.500 0.000
Co: 0.500 0.000 0.000
Co: 0.000 0.000 0.500
Sc: 0.000 0.000 0.000
Al: 0.500 0.500 0.500

Summary:
Magnetic moment (μB/f.u.): 3.092
Space-group type: P4/mmm (123)
Formation energy from the elements (meV per atom): 1260
Uncorrected energy (eV per cell): -27.11
Calculated density (Mg/m³): 4.7

---

# 17
Compound: Sc2Al2VCo5
Source: Alexandria via LeMat-Bulk
Functional: PBE-GGA
Structure: relaxed

Unit cell a=3.134 b=9.329 c=9.329 alpha=90.00 beta=90.00 gamma=90.00
Positions (direct):
Co: 0.500 0.560 0.694
Co: 0.500 0.060 0.806
Co: 0.500 0.440 0.306
Co: 0.500 0.194 0.060
Co: 0.500 0.000 0.500
Co: 0.500 0.306 0.560
Co: 0.500 0.940 0.194
Co: 0.500 0.806 0.940
Co: 0.500 0.500 0.000
Co: 0.500 0.694 0.440
V: 0.000 0.000 0.000
V: 0.000 0.500 0.500
Al: 0.000 0.372 0.128
Al: 0.000 0.872 0.372
Al: 0.000 0.128 0.628
Al: 0.000 0.628 0.872
Sc: 0.000 0.671 0.171
Sc: 0.000 0.171 0.329
Sc: 0.000 0.829 0.671
Sc: 0.000 0.329 0.829

Summary:
Magnetic moment (μB/f.u.): 0.752
Space-group type: P4/mbm (127)
Formation energy from the elements (meV per atom): -271
Uncorrected energy (eV per cell): -135.01
Calculated density (Mg/m³): 6.0

---

# 18
Compound: YScAl2Co
Source: Alexandria via LeMat-Bulk
Functional: PBE-GGA
Structure: relaxed

Unit cell a=4.628 b=4.664 c=4.628 alpha=90.00 beta=90.00 gamma=90.00
Positions (direct):
Al: 0.000 0.000 0.500
Al: 0.500 0.000 0.000
Y: 0.500 0.500 0.500
Sc: 0.000 0.500 0.000
Co: 0.000 0.000 0.000

Summary:
Magnetic moment (μB/f.u.): 0.000
Space-group type: P4/mmm (123)
Formation energy from the elements (meV per atom): -285
Uncorrected energy (eV per cell): -28.81
Calculated density (Mg/m³): 4.1

---

# 19
Compound: Sc5Al2ZnCo2
Source: Alexandria via LeMat-Bulk
Functional: PBE-GGA
Structure: relaxed

Unit cell a=3.284 b=10.647 c=10.647 alpha=90.00 beta=90.00 gamma=90.00
Positions (direct):
Sc: 0.500 0.075 0.796
Sc: 0.500 0.575 0.704
Sc: 0.500 0.425 0.296
Sc: 0.500 0.704 0.425
Sc: 0.500 0.000 0.500
Sc: 0.500 0.204 0.075
Sc: 0.500 0.796 0.925
Sc: 0.500 0.500 0.000
Sc: 0.500 0.925 0.204
Sc: 0.500 0.296 0.575
Al: 0.000 0.175 0.325
Al: 0.000 0.675 0.175
Al: 0.000 0.825 0.675
Al: 0.000 0.325 0.825
Co: 0.000 0.135 0.635
Co: 0.000 0.635 0.865
Co: 0.000 0.865 0.365
Co: 0.000 0.365 0.135
Zn: 0.000 0.500 0.500
Zn: 0.000 0.000 0.000

Summary:
Magnetic moment (μB/f.u.): 0.000
Space-group type: P4/mbm (127)
Formation energy from the elements (meV per atom): -304
Uncorrected energy (eV per cell): -115.34
Calculated density (Mg/m³): 4.1

---

# 20
Compound: ZrScAlCo
Source: Alexandria via LeMat-Bulk
Functional: PBE-GGA
Structure: relaxed

Unit cell a=4.660 b=4.660 c=4.660 alpha=60.00 beta=60.00 gamma=60.00
Positions (direct):
Co: 0.250 0.250 0.250
Zr: 0.000 0.000 0.000
Sc: 0.500 0.500 0.500
Al: 0.750 0.750 0.750

Summary:
Magnetic moment (μB/f.u.): 0.980
Space-group type: F-43m (216)
Formation energy from the elements (meV per atom): -302
Uncorrected energy (eV per cell): -26.93
Calculated density (Mg/m³): 5.2

---

# 21
Compound: AlCoSe
Source: Alexandria via LeMat-Bulk
Functional: PBE-GGA
Structure: relaxed

Unit cell a=4.006 b=4.006 c=3.285 alpha=90.00 beta=90.00 gamma=120.00
Positions (direct):
Al: 0.000 0.000 0.999
Se: 0.667 0.333 0.500
Co: 0.333 0.667 0.501

Summary:
Magnetic moment (μB/f.u.): 0.441
Space-group type: P3m1 (156)
Formation energy from raw total energies (eV per atom): 0.0620
Uncorrected energy (eV per cell): -14.15
E above lowest polymorph (eV/atom): 0.285
Calculated density (Mg/m³): 6.0

---

# 22
Compound: Al4CoSe
Source: Alexandria via LeMat-Bulk
Functional: PBE-GGA
Structure: relaxed

Unit cell a=5.231 b=5.231 c=5.231 alpha=60.00 beta=60.00 gamma=60.00
Positions (direct):
Al: 0.872 0.376 0.376
Al: 0.376 0.376 0.872
Al: 0.376 0.872 0.376
Al: 0.376 0.376 0.376
Co: 0.750 0.750 0.750
Se: 0.000 0.000 0.000

Summary:
Magnetic moment (μB/f.u.): 1.655
Space-group type: F-43m (216)
Formation energy from raw total energies (eV per atom): 0.3674
Uncorrected energy (eV per cell): -23.36
Calculated density (Mg/m³): 4.0

---

# 23
Compound: AlCo4Se
Source: Alexandria via LeMat-Bulk
Functional: PBE-GGA
Structure: relaxed

Unit cell a=4.814 b=4.814 c=4.814 alpha=60.00 beta=60.00 gamma=60.00
Positions (direct):
Co: 0.124 0.625 0.625
Co: 0.625 0.124 0.625
Co: 0.625 0.625 0.124
Co: 0.625 0.625 0.625
Se: 0.250 0.250 0.250
Al: 0.000 0.000 0.000

Summary:
Magnetic moment (μB/f.u.): 6.490
Space-group type: F-43m (216)
Formation energy from raw total energies (eV per atom): 0.2096
Uncorrected energy (eV per cell): -34.39
Calculated density (Mg/m³): 7.2

---

# 24
Compound: AlCo3Se
Source: Alexandria via LeMat-Bulk
Functional: PBE-GGA
Structure: relaxed

Unit cell a=4.278 b=4.278 c=4.278 alpha=90.00 beta=90.00 gamma=90.00
Positions (direct):
Co: 0.500 0.000 0.000
Co: 0.000 0.500 0.000
Co: 0.000 0.000 0.500
Se: 0.000 0.000 0.000
Al: 0.500 0.500 0.500

Summary:
Magnetic moment (μB/f.u.): 2.107
Space-group type: Pm-3m (221)
Formation energy from raw total energies (eV per atom): 0.5660
Uncorrected energy (eV per cell): -25.71
E above lowest polymorph (eV/atom): 0.000
Calculated density (Mg/m³): 6.0